Crystalline CaLa2Si3Pt4 at its relaxed geometry, computed with PBE.

The space group is P-4m2 (No. 115) and the conventional cell measures 4.334, 4.334 and 10.707 Å, with angles of 90.00, 90.00 and 90.00 degrees. The inequivalent atoms are Ca at (0.000, 0.000, 0.000), La at (0.000, 0.500, 0.733), Si at (0.000, 0.500, 0.384), Si at (0.500, 0.500, 0.000), Pt at (0.000, 0.000, 0.500), Pt at (0.000, 0.500, 0.160) and Pt at (0.500, 0.500, 0.500).

The value obtained for the density of states at the Fermi level is 4.70 states/eV/f.u. As for the formation energy from raw total energies: -1.01 eV/atom. The volume comes out at 20.109 A^3/atom.